i) This record from Alexandria describes a geometry-optimized CsN structure. The functional is PBE.

Values from the calculation:
- Fermi-level density of states (states/eV per atom) = 0.845
- space-group type = P-1

Cell lengths 4.6411, 4.7995, 9.2917 Å; angles 80.97, 77.91, 61.19 degrees
Closest atoms and distances in Å follow each position.
Positions (direct):
Cs 0.2147 0.2520 0.2829  5 N 3.02-3.33
Cs 0.7853 0.7480 0.7171  5 N 3.02-3.33
N 0.4530 0.6238 0.4644  1 N 1.19
N 0.5470 0.3762 0.5356  1 N 1.19

ii) This record from Alexandria describes a geometry-optimized CsN structure. The functional is PBE.

Values from the calculation:
- Fermi-level density of states (states/eV per atom) = 0.453
- space-group type = P2_1/m

Cell lengths 4.2102, 3.2395, 10.0350 Å; angles 90.00, 102.14, 90.00 degrees
Closest atoms and distances in Å follow each position.
Positions (direct):
Cs 0.0968 0.2500 0.1930  6 N 3.06-3.09, 2 Cs 3.24
Cs 0.9032 0.7500 0.8070  6 N 3.06-3.09, 2 Cs 3.24
N 0.4812 0.2500 0.9624  2 N 1.78
N 0.5188 0.7500 0.0376  2 N 1.78

iii) This record from Alexandria describes a geometry-optimized CsN structure. The functional is PBE.

Values from the calculation:
- Fermi-level density of states (states/eV per atom) = 0.888
- space-group type = P1

Cell lengths 4.6430, 4.9333, 9.4244 Å; angles 77.40, 76.04, 61.94 degrees
Closest atoms and distances in Å follow each position.
Positions (direct):
Cs 0.0000 0.0000 0.0000  3 N 3.11-3.36
Cs 0.0990 0.2625 0.5298  4 N 3.25-3.42
N 0.6939 0.8770 0.7293  1 N 1.19
N 0.7678 0.6469 0.8135  1 N 1.19

Least stable: ii)